Record 1
Dy5Tm3In2 | GGA-PBE | relaxed

Cell and atoms, written as POSCAR:
```
Dy5Tm3In2
1.0
6.275 0.000 0.000
3.137 9.790 -2.369
3.137 0.313 10.068
Dy In Tm
10 4 6
direct
0.499 0.751 0.751
0.999 0.751 0.751
0.250 0.500 0.500
0.872 0.463 0.792
0.372 0.792 0.463
0.001 0.249 0.249
0.750 0.500 0.500
0.501 0.249 0.249
0.128 0.537 0.208
0.628 0.208 0.537
0.366 0.988 0.281
0.866 0.281 0.988
0.634 0.012 0.719
0.134 0.719 0.012
0.106 0.120 0.669
0.250 0.000 0.000
0.394 0.331 0.880
0.606 0.669 0.120
0.894 0.880 0.331
0.750 0.000 0.000
```

Calculated values
V, Å³ per atom: 31.16
Fermi-level density of states, states/eV/f.u.: 12.01
Calculated total energy, eV per atom: -4.05
Crystal system: orthorhombic

Record 2
DyTm8In2 | GGA-PBE | relaxed

Cell and atoms, written as POSCAR:
```
DyTm8In2
1.0
5.502 -0.328 -0.492
-1.415 8.539 -0.714
-1.415 -3.948 7.606
Tm In Dy
8 2 1
direct
0.876 0.905 0.676
0.500 0.785 0.215
0.124 0.095 0.324
0.297 0.596 0.596
0.500 0.215 0.785
0.703 0.404 0.404
0.124 0.324 0.095
0.876 0.676 0.905
0.000 0.693 0.307
0.000 0.307 0.693
0.500 0.000 0.000
```

Calculated values
V, Å³ per atom: 29.93
Fermi-level density of states, states/eV/f.u.: 14.61
Calculated total energy, eV per atom: -4.19
Crystal system: monoclinic

Record 3
DyTm9In2 | GGA-PBE | relaxed

Cell and atoms, written as POSCAR:
```
DyTm9In2
1.0
-0.903 4.686 0.631
-3.539 -1.096 3.073
9.575 0.345 11.148
Tm In Dy
9 2 1
direct
0.000 0.500 0.172
0.500 0.000 0.828
0.500 0.000 0.172
0.500 0.500 0.662
0.000 0.500 0.828
0.500 0.000 0.500
0.500 0.500 0.000
0.000 0.500 0.500
0.500 0.500 0.338
0.000 0.000 0.339
0.000 0.000 0.661
0.000 0.000 0.000
```

Calculated values
V, Å³ per atom: 28.38
Fermi-level density of states, states/eV/f.u.: 12.57
Calculated total energy, eV per atom: -4.35
Crystal system: tetragonal

Record 4
Dy2Tm8In | GGA-PBE | relaxed

Cell and atoms, written as POSCAR:
```
Dy2Tm8In
1.0
5.460 0.000 0.000
0.000 6.191 1.299
-2.730 -1.124 9.490
Dy Tm In
2 8 1
direct
0.756 0.334 0.513
0.244 0.666 0.487
0.421 0.595 0.843
0.955 0.266 0.909
0.579 0.405 0.157
0.847 0.806 0.694
0.153 0.194 0.306
0.338 0.123 0.677
0.045 0.734 0.091
0.662 0.877 0.323
0.500 0.000 0.000
```

Calculated values
V, Å³ per atom: 29.88
Fermi-level density of states, states/eV/f.u.: 14.91
Calculated total energy, eV per atom: -4.39
Crystal system: monoclinic

Record 5
Dy3Tm4In2 | GGA-PBE | relaxed

Cell and atoms, written as POSCAR:
```
Dy3Tm4In2
1.0
5.239 0.000 -0.001
2.618 6.210 0.527
2.618 3.375 8.318
Tm In Dy
4 2 3
direct
0.123 0.413 0.342
0.877 0.587 0.658
0.669 0.628 0.034
0.331 0.372 0.966
0.214 0.889 0.682
0.786 0.111 0.318
0.426 0.805 0.344
0.000 0.000 0.000
0.574 0.195 0.656
```

Calculated values
V, Å³ per atom: 29.03
Fermi-level density of states, states/eV/f.u.: 9.53
Calculated total energy, eV per atom: -4.33
Crystal system: monoclinic

Record 6
DyTm2In | GGA-PBE | relaxed

Cell and atoms, written as POSCAR:
```
DyTm2In
1.0
-0.072 0.457 -3.497
-0.540 -2.760 -2.129
-10.910 0.983 -1.427
Tm Dy In
2 1 1
direct
0.254 0.254 0.237
0.079 0.079 0.763
0.500 0.500 0.500
0.667 0.667 0.000
```

Calculated values
V, Å³ per atom: 29.24
Fermi-level density of states, states/eV/f.u.: 4.73
ΔE to the lowest computed polymorph, meV per atom: 116
Crystal system: trigonal

Record 7
Dy4Tm3In | GGA-PBE | relaxed

Cell and atoms, written as POSCAR:
```
Dy4Tm3In
1.0
-1.180 -10.412 3.766
3.908 -4.235 5.896
-4.659 2.221 4.683
Tm Dy In
6 8 2
direct
0.354 0.157 0.500
0.524 0.338 0.252
0.524 0.338 0.748
0.775 0.846 0.000
0.110 0.666 0.743
0.110 0.666 0.257
0.604 0.663 0.248
0.870 0.143 0.500
0.769 0.828 0.500
0.604 0.663 0.752
0.020 0.333 0.241
0.259 0.855 0.000
0.020 0.333 0.759
0.359 0.177 0.000
0.271 0.832 0.500
0.860 0.162 0.000
```

Calculated values
V, Å³ per atom: 29.61
Fermi-level density of states, states/eV/f.u.: 10.51
ΔE to the lowest computed polymorph, meV per atom: 0
Crystal system: monoclinic

Record 8
Dy15Tm2In2 | GGA-PBE | relaxed

Cell and atoms, written as POSCAR:
```
Dy15Tm2In2
1.0
8.222 -0.581 2.195
1.536 8.098 2.195
-0.754 -0.581 8.476
Dy Tm In
15 2 2
direct
0.708 0.292 0.000
0.852 0.369 0.369
0.148 0.631 0.631
0.000 0.708 0.292
0.000 0.292 0.708
0.000 0.000 0.500
0.369 0.369 0.852
0.292 0.000 0.708
0.708 0.000 0.292
0.000 0.500 0.000
0.631 0.631 0.148
0.500 0.000 0.000
0.631 0.148 0.631
0.292 0.708 0.000
0.369 0.852 0.369
0.319 0.319 0.319
0.681 0.681 0.681
0.095 0.095 0.095
0.905 0.905 0.905
```

Calculated values
V, Å³ per atom: 31.30
Fermi-level density of states, states/eV/f.u.: 23.61
Calculated total energy, eV per atom: -4.23
Crystal system: trigonal

Record 9
Dy5Tm4In4 | GGA-PBE | relaxed

Cell and atoms, written as POSCAR:
```
Dy5Tm4In4
1.0
4.877 0.000 1.240
2.439 8.587 0.620
0.323 0.000 8.943
Dy In Tm
5 4 4
direct
0.312 0.091 0.284
0.403 0.284 0.909
0.000 0.000 0.000
0.597 0.716 0.091
0.688 0.909 0.716
0.106 0.130 0.658
0.236 0.658 0.870
0.894 0.870 0.342
0.764 0.342 0.130
0.395 0.702 0.508
0.097 0.508 0.298
0.605 0.298 0.492
0.903 0.492 0.702
```

Calculated values
V, Å³ per atom: 28.55
Fermi-level density of states, states/eV/f.u.: 11.27
Calculated total energy, eV per atom: -4.31
Crystal system: tetragonal

Record 10
Dy3TmIn4 | GGA-PBE | relaxed

Cell and atoms, written as POSCAR:
```
Dy3TmIn4
1.0
-0.735 2.969 -1.560
-6.230 -2.302 -1.446
0.211 3.259 9.880
In Dy Tm
4 3 1
direct
0.374 0.150 0.748
0.626 0.850 0.252
0.626 0.402 0.252
0.374 0.598 0.748
0.226 0.226 0.452
0.774 0.774 0.548
0.000 0.500 0.000
0.500 0.000 0.000
```

Calculated values
V, Å³ per atom: 28.25
Fermi-level density of states, states/eV/f.u.: 5.83
ΔE to the lowest computed polymorph, meV per atom: 153
Crystal system: orthorhombic

Record 11
Dy2Tm2In3 | GGA-PBE | relaxed

Cell and atoms, written as POSCAR:
```
Dy2Tm2In3
1.0
-0.110 -1.136 3.333
2.054 -2.731 -0.864
13.308 6.297 4.462
Tm In Dy
2 3 2
direct
0.291 0.291 0.419
0.709 0.709 0.581
0.859 0.860 0.281
0.000 0.000 0.000
0.141 0.140 0.719
0.430 0.430 0.141
0.570 0.570 0.859
```

Calculated values
V, Å³ per atom: 26.92
Fermi-level density of states, states/eV/f.u.: 5.87
Calculated total energy, eV per atom: -4.17
Crystal system: monoclinic

Record 12
DyTm2In | GGA-PBE | relaxed

Cell and atoms, written as POSCAR:
```
DyTm2In
1.0
3.552 0.000 0.000
0.000 3.552 0.000
0.000 0.000 9.058
Tm In Dy
2 1 1
direct
0.000 0.000 0.228
0.000 0.000 0.772
0.500 0.500 0.000
0.500 0.500 0.500
```

Calculated values
V, Å³ per atom: 28.58
Fermi-level density of states, states/eV/f.u.: 3.94
ΔE to the lowest computed polymorph, meV per atom: 27
Crystal system: tetragonal